(1)
{
  "formula": "PaCo2Ir",
  "functional": "PBE",
  "state": "relaxed",
  "e_form_ev_per_atom": -0.2601,
  "de_polymorph_ev_per_fu": 0.98,
  "rho_g_cm3": 14.79,
  "sg": "R-3m, No. 166",
  "total_energy_ev_per_atom": -8.402,
  "lattice_angstrom": [[-3.242, -1.455, 2.445], [-1.861, -3.782, -0.914], [0.775, -3.504, 2.746]],
  "species": ["Pa", "Co", "Ir", "Co"],
  "fractional_positions": [[0.500, 0.500, 0.500], [0.775, 0.775, 0.676], [0.000, 0.000, 0.000], [0.225, 0.225, 0.324]]
}

=====

(2)
{
  "formula": "Pr3Cu9Ni2",
  "functional": "PBE",
  "state": "relaxed",
  "e_form_ev_per_atom": -0.1608,
  "rho_g_cm3": 7.96,
  "sg": "Immm, No. 71",
  "total_energy_ev_per_atom": -4.644,
  "lattice_angstrom": [[4.205, 0.000, 0.000], [2.103, 7.590, 0.253], [2.103, 1.966, 7.335]],
  "species": ["Cu", "Cu", "Cu", "Pr", "Cu", "Cu", "Pr", "Cu", "Cu", "Ni", "Ni", "Cu", "Cu", "Pr"],
  "fractional_positions": [[0.328, 0.320, 0.024], [0.884, 0.394, 0.837], [0.116, 0.163, 0.606], [0.691, 0.309, 0.309], [0.328, 0.024, 0.320], [0.672, 0.976, 0.680], [0.309, 0.691, 0.691], [0.116, 0.606, 0.163], [0.000, 0.500, 0.500], [0.500, 0.697, 0.303], [0.500, 0.303, 0.697], [0.884, 0.837, 0.394], [0.672, 0.680, 0.976], [0.000, 0.000, 0.000]]
}

=====

(3)
{
  "formula": "KInPbCl6",
  "functional": "PBE",
  "state": "relaxed",
  "rho_g_cm3": 3.19,
  "e_form_raw_mev_per_atom": -1338,
  "sg": "P-31c, No. 163",
  "total_energy_ev_per_atom": -3.407,
  "lattice_angstrom": [[-1.568, -4.340, -5.549], [1.565, -2.820, 6.457], [-12.829, 0.424, 3.294]],
  "species": ["Cl", "K", "K", "Cl", "Cl", "Cl", "Pb", "Cl", "Cl", "Cl", "Pb", "Cl", "Cl", "In", "Cl", "In", "Cl", "Cl"],
  "fractional_positions": [[0.348, 0.385, 0.863], [0.000, 0.000, 0.000], [0.000, 0.000, 0.500], [0.652, 0.615, 0.137], [0.385, 0.038, 0.137], [0.385, 0.348, 0.363], [0.667, 0.333, 0.750], [0.038, 0.652, 0.863], [0.038, 0.385, 0.637], [0.962, 0.348, 0.137], [0.333, 0.667, 0.250], [0.615, 0.652, 0.637], [0.615, 0.962, 0.863], [0.333, 0.667, 0.750], [0.652, 0.038, 0.363], [0.667, 0.333, 0.250], [0.348, 0.962, 0.637], [0.962, 0.615, 0.363]]
}

=====

(4)
{
  "formula": "Fe3ReBr",
  "functional": "PBE",
  "state": "relaxed",
  "de_polymorph_ev_per_fu": 0.00,
  "rho_g_cm3": 7.23,
  "e_form_raw_mev_per_atom": 1522,
  "sg": "Pm-3m, No. 221",
  "total_energy_ev_per_atom": -6.379,
  "lattice_angstrom": [[-0.934, -4.319, 1.396], [2.722, 0.608, 3.702], [-3.633, 1.566, 2.414]],
  "species": ["Fe", "Br", "Fe", "Fe", "Re"],
  "fractional_positions": [[0.500, 0.000, 0.000], [0.500, 0.500, 0.500], [0.000, 0.000, 0.500], [0.000, 0.500, 0.000], [0.000, 0.000, 0.000]]
}

=====

(5)
{
  "formula": "Mg2Zn2GaAg5",
  "functional": "PBE",
  "state": "relaxed",
  "e_form_ev_per_atom": -0.0474,
  "rho_g_cm3": 7.17,
  "sg": "P4/mbm, No. 127",
  "total_energy_ev_per_atom": -2.349,
  "lattice_angstrom": [[-1.576, 2.838, 2.386], [-7.709, 0.399, -5.568], [-4.158, -6.744, 5.274]],
  "species": ["Ag", "Ag", "Zn", "Ag", "Mg", "Ga", "Ag", "Ag", "Ag", "Ag", "Ag", "Mg", "Ga", "Zn", "Ag", "Zn", "Zn", "Ag", "Mg", "Mg"],
  "fractional_positions": [[0.500, 0.696, 0.418], [0.500, 0.500, 0.000], [0.000, 0.876, 0.376], [0.500, 0.000, 0.500], [0.000, 0.327, 0.827], [0.000, 0.500, 0.500], [0.500, 0.304, 0.582], [0.500, 0.918, 0.196], [0.500, 0.418, 0.304], [0.500, 0.804, 0.918], [0.500, 0.582, 0.696], [0.000, 0.827, 0.673], [0.000, 0.000, 0.000], [0.000, 0.124, 0.624], [0.500, 0.082, 0.804], [0.000, 0.624, 0.876], [0.000, 0.376, 0.124], [0.500, 0.196, 0.082], [0.000, 0.673, 0.173], [0.000, 0.173, 0.327]]
}

=====

(6)
{
  "formula": "H2IF2",
  "functional": "PBE",
  "state": "relaxed",
  "de_polymorph_ev_per_fu": 1.82,
  "rho_g_cm3": 3.28,
  "sg": "P-1, No. 2",
  "total_energy_ev_per_atom": -3.059,
  "lattice_angstrom": [[-2.143, -6.212, 0.854], [2.480, -0.019, -4.952], [1.374, 0.167, 2.827]],
  "species": ["F", "H", "H", "I", "F"],
  "fractional_positions": [[0.785, 0.222, 0.208], [0.477, 0.566, 0.065], [0.523, 0.434, 0.935], [0.000, 0.000, 0.000], [0.215, 0.778, 0.792]]
}

=====

(7)
{
  "formula": "MgZrGa",
  "functional": "PBE",
  "state": "relaxed",
  "e_form_ev_per_atom": -0.3312,
  "rho_g_cm3": 5.22,
  "sg": "Amm2, No. 38",
  "total_energy_ev_per_atom": -4.721,
  "lattice_angstrom": [[-2.122, 1.552, -3.597], [-1.808, -3.491, -0.440], [-10.056, 4.229, 7.757]],
  "species": ["Zr", "Zr", "Mg", "Ga", "Mg", "Zr", "Ga", "Mg", "Ga", "Ga", "Zr", "Mg"],
  "fractional_positions": [[0.000, 0.500, 0.776], [0.000, 0.500, 0.459], [0.500, 0.500, 0.947], [0.000, 0.500, 0.113], [0.500, 0.000, 0.447], [0.000, 0.000, 0.276], [0.000, 0.000, 0.613], [0.500, 0.000, 0.123], [0.500, 0.500, 0.298], [0.500, 0.000, 0.798], [0.000, 0.000, 0.959], [0.500, 0.500, 0.623]]
}

=====

(8)
{
  "formula": "MnTe2W",
  "functional": "PBE",
  "state": "relaxed",
  "de_polymorph_ev_per_fu": 3.05,
  "rho_g_cm3": 9.42,
  "e_form_raw_mev_per_atom": 846,
  "sg": "P2/m, No. 10",
  "total_energy_ev_per_atom": -6.256,
  "lattice_angstrom": [[-0.592, 4.075, -1.724], [-0.662, -1.205, -2.620], [-6.299, -0.082, 1.970]],
  "species": ["Te", "Mn", "W", "Te"],
  "fractional_positions": [[0.000, 0.459, 0.493], [0.500, 0.750, 0.750], [0.500, 0.250, 0.250], [0.000, 0.041, 0.007]]
}

=====

(9)
{
  "formula": "MnGePN",
  "functional": "PBE",
  "state": "relaxed",
  "de_polymorph_ev_per_fu": 0.90,
  "rho_g_cm3": 5.22,
  "e_form_raw_mev_per_atom": 214,
  "sg": "Cm, No. 8",
  "total_energy_ev_per_atom": -6.667,
  "lattice_angstrom": [[5.933, 0.000, -0.002], [0.000, 2.778, 0.000], [-0.571, 0.000, 6.661]],
  "species": ["P", "N", "Mn", "P", "Ge", "Ge", "N", "Mn"],
  "fractional_positions": [[0.313, 0.000, 0.147], [0.546, 0.500, 0.816], [0.613, 0.000, 0.613], [0.313, 0.500, 0.647], [0.908, 0.000, 0.334], [0.908, 0.500, 0.834], [0.546, 0.000, 0.316], [0.613, 0.500, 0.113]]
}

=====

(10)
{
  "formula": "UHgPb2Se6",
  "functional": "PBE",
  "state": "relaxed",
  "rho_g_cm3": 6.88,
  "e_form_raw_mev_per_atom": -584,
  "sg": "R3, No. 146",
  "total_energy_ev_per_atom": -4.575,
  "lattice_angstrom": [[7.421, 0.000, 0.001], [3.710, 6.427, 0.002], [3.710, 2.143, 6.720]],
  "species": ["Se", "Se", "U", "Se", "Hg", "Se", "Se", "Pb", "Pb", "Se"],
  "fractional_positions": [[0.230, 0.978, 0.225], [0.567, 0.230, 0.225], [0.333, 0.333, 0.002], [0.710, 0.129, 0.738], [0.752, 0.752, 0.743], [0.423, 0.710, 0.738], [0.129, 0.423, 0.738], [0.007, 0.007, 0.979], [0.533, 0.533, 0.402], [0.978, 0.567, 0.225]]
}

=====

(11)
{
  "formula": "NdErIrAu",
  "functional": "PBE",
  "state": "relaxed",
  "e_form_ev_per_atom": -0.7434,
  "rho_g_cm3": 12.92,
  "sg": "F-43m, No. 216",
  "total_energy_ev_per_atom": -6.111,
  "lattice_angstrom": [[-0.634, -4.246, 2.624], [2.957, -3.972, -0.890], [3.436, -1.391, 3.402]],
  "species": ["Ir", "Nd", "Au", "Er"],
  "fractional_positions": [[0.500, 0.500, 0.500], [0.250, 0.250, 0.250], [0.000, 0.000, 0.000], [0.750, 0.750, 0.750]]
}

=====

(12)
{
  "formula": "LiAsPb2",
  "functional": "PBE",
  "state": "relaxed",
  "e_form_ev_per_atom": -0.1068,
  "rho_g_cm3": 8.18,
  "sg": "Imm2, No. 44",
  "total_energy_ev_per_atom": -3.602,
  "lattice_angstrom": [[-2.954, 2.660, 4.415], [-5.906, -0.602, -0.231], [4.902, -3.356, 0.052]],
  "species": ["Pb", "Pb", "Li", "As"],
  "fractional_positions": [[0.002, 0.002, 0.000], [0.725, 0.225, 0.500], [0.294, 0.794, 0.500], [0.479, 0.479, 0.000]]
}

=====

Q: Which formula does entry 9 have?
A: MnGePN